The following is a GGA-PBE calculation of a relaxed PrTm2Hg6 crystal, from Alexandria via LeMat-Bulk.

The space group is C2/m (No. 12) and the conventional cell measures 14.960, 8.637 and 3.429 Å, with angles of 90.00, 90.03 and 90.00 degrees. The inequivalent atoms are Pr at (0.000, 0.000, 0.000), Tm at (0.167, 0.500, 0.000), Hg at (0.000, 0.337, 0.500) and Hg at (0.168, 0.168, 0.502).

The electronic total energy comes out at -2.097 eV/atom. As for the density of states at the Fermi level: 6.3 states/eV/f.u. The energy above the most stable polymorph in this dataset comes out at 0.00 kJ/mol of atoms.